No. 1
Sr2YPt: optimized geometry, PBE-GGA.

formation enthalpy at 0 K: -0.554 eV/atom
raw total energy: -4.52 eV/atom
spin magnetization: 0.0 μB/f.u.
crystal system: orthorhombic
density of states at the Fermi level: 2.84 states/eV/f.u.

abc: 3.9272 4.1493 9.2729
angles: 77.06 90.00 90.00
With the nearest neighbours (Å) after each atom.
Sites, in units of the cell vectors:
Y 0.0000 0.5128 0.5992  4 Pt 2.90
Sr 0.0000 0.8428 0.9404  2 Pt 3.25
Sr 0.5000 0.1591 0.3059  1 Pt 3.15
Pt 0.5000 0.9853 0.6545  4 Y 2.90, 3 Sr 3.15-3.25



No. 2
SrY2Pt: optimized geometry, PBE-GGA.

formation enthalpy at 0 K: -0.542 eV/atom
raw total energy: -5.71 eV/atom
spin magnetization: 0.0 μB/f.u.
crystal system: trigonal
density of states at the Fermi level: 4.04 states/eV/f.u.

abc: 9.9526 9.9526 9.9526
angles: 24.12 24.12 24.12
With the nearest neighbours (Å) after each atom.
Sites, in units of the cell vectors:
Pt 0.2500 0.2500 0.2500  6 Y 2.81
Sr 0.7500 0.7500 0.7500  6 Y 4.13, 6 Sr 4.16
Y 0.9672 0.9672 0.9672  3 Pt 2.81
Y 0.5328 0.5328 0.5328  3 Pt 2.81



No. 3
SrY2Pt: optimized geometry, PBE-GGA.

formation enthalpy at 0 K: -0.122 eV/atom
raw total energy: -5.28 eV/atom
spin magnetization: 0.0 μB/f.u.
crystal system: tetragonal
density of states at the Fermi level: 5.31 states/eV/f.u.

abc: 6.2373 6.2373 6.2373
angles: 137.68 137.68 61.39
With the nearest neighbours (Å) after each atom.
Sites, in units of the cell vectors:
Pt 0.5000 0.5000 0.0000  8 Y 3.18-3.50, 4 Sr 3.50
Sr 0.7500 0.2500 0.5000  8 Y 3.18-3.50, 4 Pt 3.50
Y 0.0000 0.0000 0.0000  4 Pt 3.18, 4 Sr 3.50, 4 Y 3.50
Y 0.2500 0.7500 0.5000  4 Sr 3.18, 4 Pt 3.50, 4 Y 3.50



No. 4
SrY2Pt: optimized geometry, PBE-GGA.

formation enthalpy at 0 K: -0.472 eV/atom
raw total energy: -5.63 eV/atom
spin magnetization: 1.0 μB/f.u.
crystal system: tetragonal
density of states at the Fermi level: 3.53 states/eV/f.u.

abc: 3.6812 3.6812 8.9562
angles: 90.00 90.00 90.00
With the nearest neighbours (Å) after each atom.
Sites, in units of the cell vectors:
Pt 0.0000 0.0000 0.4611  4 Y 2.93
Sr 0.5000 0.5000 0.6916  4 Pt 3.32, 1 Y 3.41, 4 Sr 3.68
Y 0.0000 0.0000 0.0366  8 Y 3.58-3.68, 1 Pt 3.80
Y 0.5000 0.5000 0.3108  4 Pt 2.93